The following is a PBE-GGA calculation of NaTaAuSe3 after structural relaxation, from OQMD via LeMat-Bulk.

Size of the total moment ... 0.008 μB per formula unit
Space-group type ... Cmcm (63)
Electronic total energy ... -59.9 eV/cell
Crystal system ... orthorhombic

```
NaTaAuSe3
1.0
-2.403 6.276 -2.926
-5.250 4.009 -3.175
-3.203 3.022 9.111
Se Na Ta Au
6 2 2 2
direct
0.366 0.366 0.972
0.914 0.914 0.250
0.634 0.634 0.028
0.634 0.634 0.472
0.086 0.086 0.750
0.366 0.366 0.528
0.237 0.237 0.250
0.763 0.763 0.750
0.000 0.000 0.000
0.000 0.000 0.500
0.556 0.556 0.250
0.444 0.444 0.750
```